Record 1
CsU2O6: relaxed, PBE-GGA.

Cell: 7.954 7.954 7.954 Å, 60.00 60.00 60.00°
Each line ends with the local moment (μB).
Element x y z (fractional)
O 0.690 0.310 0.690  -0.02
O 0.690 0.690 0.310  -0.02
O 0.310 0.690 0.310  -0.02
O 0.310 0.690 0.690  -0.02
O 0.690 0.310 0.310  -0.02
O 0.940 0.560 0.560  -0.02
O 0.310 0.310 0.690  -0.02
O 0.560 0.940 0.940  -0.02
O 0.560 0.940 0.560  -0.02
O 0.940 0.940 0.560  -0.02
O 0.560 0.560 0.940  -0.02
O 0.940 0.560 0.940  -0.02
U 0.625 0.625 0.625  0.54
U 0.625 0.125 0.625  0.54
U 0.125 0.625 0.625  0.54
U 0.625 0.625 0.125  0.54
Cs 0.000 0.000 0.000  0.00
Cs 0.250 0.250 0.250  0.00

## Properties
For the uncorrected formation energy, the calculation gives -3.0451 eV/atom.



Record 2
Cu8PdRh2: relaxed, PBE-GGA.

Cell: 2.667 6.325 9.312 Å, 67.66 81.75 90.03°
Element x y z (fractional)
Cu 0.907 0.551 0.157
Cu 0.695 0.365 0.577
Cu 0.862 0.986 0.247
Cu 0.093 0.449 0.782
Cu 0.539 0.702 0.889
Cu 0.460 0.298 0.050
Cu 0.304 0.636 0.361
Cu 0.137 0.015 0.692
Rh 0.707 0.796 0.554
Rh 0.292 0.204 0.385
Pd 0.999 0.000 0.970

## Properties
Its formation energy is 0.074 eV/atom.



Q: Which mass density values were calculated for the entries above? A: 6.58, 9.50, in g cm⁻³.
Q: Which size of the total moment values were calculated for the entries above? A: 1.0, 0.0, in μB per formula unit.